Record 1
# LiTb3Pm3Se8

An optimized crystal structure of LiTb3Pm3Se8 (PBE-GGA, Alexandria via LeMat-Bulk).

```
data_LiTb3Pm3Se8
_symmetry_space_group_name_H-M 'R -3 m'
_symmetry_Int_Tables_number 166
_symmetry_space_group_name_Hall '-R 3 2"'
_cell_length_a 8.2225
_cell_length_b 8.2225
_cell_length_c 20.2425
_cell_angle_alpha 90.00
_cell_angle_beta 90.00
_cell_angle_gamma 120.00
loop_
_atom_site_label
_atom_site_type_symbol
_atom_site_fract_x
_atom_site_fract_y
_atom_site_fract_z
_atom_site_occupancy
Li1 Li 0.0000 0.0000 0.0000 1
Tb1 Tb 0.0000 0.5000 0.0000 1
Pm1 Pm 0.0000 0.5000 0.5000 1
Se1 Se 0.0000 0.0000 0.2526 1
Se2 Se 0.0021 0.5010 0.7469 1
```

Output
Raw formation energy   -1.812 eV/atom
Volume   1185.2 Å³ per cell

Record 2
# Li3TbPm2Se6

An optimized crystal structure of Li3TbPm2Se6 (PBE-GGA, Alexandria via LeMat-Bulk).

```
data_Li3TbPm2Se6
_symmetry_space_group_name_H-M 'C 1 2/m 1'
_symmetry_Int_Tables_number 12
_cell_length_a 7.185
_cell_length_b 12.446
_cell_length_c 6.942
_cell_angle_alpha 90.00
_cell_angle_beta 110.17
_cell_angle_gamma 90.00
loop_
_symmetry_equiv_pos_as_xyz
'x,y,z'
'-x,-y,-z'
'-x,y,-z'
'x,-y,z'
'x+1/2,y+1/2,z'
'-x+1/2,-y+1/2,-z'
'-x+1/2,y+1/2,-z'
'x+1/2,-y+1/2,z'
loop_
_atom_site_label
_atom_site_type_symbol
_atom_site_fract_x
_atom_site_fract_y
_atom_site_fract_z
_atom_site_occupancy
Li1 Li 0.000 0.000 0.000 1
Li2 Li 0.000 0.335 0.000 1
Tb1 Tb 0.000 0.500 0.500 1
Pm1 Pm 0.000 0.167 0.500 1
Se1 Se 0.243 0.500 0.244 1
Se2 Se 0.250 0.164 0.243 1
```

Output
Raw formation energy   -1.680 eV/atom
Volume   582.7 Å³ per cell

Record 3
# Li2TbPm3Se6

An optimized crystal structure of Li2TbPm3Se6 (PBE-GGA, Alexandria via LeMat-Bulk).

```
data_Li2TbPm3Se6
_symmetry_space_group_name_H-M 'C 1 2/m 1'
_symmetry_Int_Tables_number 12
_cell_length_a 7.129
_cell_length_b 12.349
_cell_length_c 7.113
_cell_angle_alpha 90.00
_cell_angle_beta 109.52
_cell_angle_gamma 90.00
loop_
_symmetry_equiv_pos_as_xyz
'x,y,z'
'-x,-y,-z'
'-x,y,-z'
'x,-y,z'
'x+1/2,y+1/2,z'
'-x+1/2,-y+1/2,-z'
'-x+1/2,y+1/2,-z'
'x+1/2,-y+1/2,z'
loop_
_atom_site_label
_atom_site_type_symbol
_atom_site_fract_x
_atom_site_fract_y
_atom_site_fract_z
_atom_site_occupancy
Li1 Li 0.000 0.167 0.000 1
Tb1 Tb 0.000 0.500 0.000 1
Pm1 Pm 0.000 0.000 0.500 1
Pm2 Pm 0.000 0.333 0.500 1
Se1 Se 0.241 0.000 0.237 1
Se2 Se 0.247 0.331 0.236 1
```

Output
Raw formation energy   -1.739 eV/atom
Volume   590.2 Å³ per cell

Record 4
# Li2Tb3PmSe6

An optimized crystal structure of Li2Tb3PmSe6 (PBE-GGA, Alexandria via LeMat-Bulk).

```
data_Li2Tb3PmSe6
_symmetry_space_group_name_H-M 'C 1 2/m 1'
_symmetry_Int_Tables_number 12
_cell_length_a 7.059
_cell_length_b 12.222
_cell_length_c 7.085
_cell_angle_alpha 90.00
_cell_angle_beta 109.48
_cell_angle_gamma 90.00
loop_
_symmetry_equiv_pos_as_xyz
'x,y,z'
'-x,-y,-z'
'-x,y,-z'
'x,-y,z'
'x+1/2,y+1/2,z'
'-x+1/2,-y+1/2,-z'
'-x+1/2,y+1/2,-z'
'x+1/2,-y+1/2,z'
loop_
_atom_site_label
_atom_site_type_symbol
_atom_site_fract_x
_atom_site_fract_y
_atom_site_fract_z
_atom_site_occupancy
Li1 Li 0.000 0.168 0.000 1
Tb1 Tb 0.000 0.000 0.500 1
Tb2 Tb 0.000 0.335 0.500 1
Pm1 Pm 0.000 0.500 0.000 1
Se1 Se 0.239 0.000 0.245 1
Se2 Se 0.247 0.171 0.754 1
```

Output
Raw formation energy   -1.738 eV/atom
Volume   576.3 Å³ per cell